Arrangement P

Material: NaIrBr2
Method: DFT, PBE
State: optimized geometry

```
NaIrBr2
1.0
-3.464 2.869 3.312
-0.538 -4.468 3.307
3.680 1.463 7.291
Br Ir Na
4 2 2
direct
0.875 0.942 0.750
0.058 0.625 0.250
0.375 0.308 0.750
0.692 0.125 0.250
0.000 0.000 0.000
0.750 0.250 0.500
0.500 0.500 0.000
0.250 0.750 0.500
```

## Properties
**Space-group type**: I-42d (122)



Arrangement Q

Material: NaIrBr2
Method: DFT, PBE
State: optimized geometry

```
NaIrBr2
1.0
0.000 3.480 3.480
3.480 0.000 3.480
3.480 3.480 0.000
Ir Br Na
1 2 1
direct
0.500 0.500 0.500
0.750 0.750 0.750
0.250 0.250 0.250
0.000 0.000 0.000
```

## Properties
**Space-group type**: Fm-3m (225)



Most stable one: arrangement P, least stable one: arrangement Q.



Arrangement P

Material: NaIrBr3
Method: DFT, PBE
State: optimized geometry

```
NaIrBr3
1.0
-4.643 -0.293 2.229
0.492 -5.123 0.353
2.193 0.530 4.639
Br Na Ir
3 1 1
direct
0.000 0.000 0.500
0.000 0.500 0.000
0.500 0.000 0.000
0.500 0.500 0.500
0.000 0.000 0.000
```

## Properties
**Space-group type**: Pm-3m (221)



Arrangement Q

Material: NaIrBr3
Method: DFT, PBE
State: optimized geometry

```
NaIrBr3
1.0
5.277 0.000 0.000
0.000 5.277 0.000
0.000 0.000 5.277
Br Na Ir
3 1 1
direct
0.000 0.500 0.000
0.000 0.000 0.500
0.500 0.000 0.000
0.000 0.000 0.000
0.500 0.500 0.500
```

## Properties
**Space-group type**: Pm-3m (221)



Most stable one: arrangement P, least stable one: arrangement Q.



Arrangement P

Material: NaIr3Br
Method: DFT, PBE
State: optimized geometry

```
NaIr3Br
1.0
4.717 0.000 0.000
0.000 4.717 0.000
0.000 0.000 4.717
Ir Na Br
3 1 1
direct
0.500 0.000 0.000
0.000 0.000 0.500
0.000 0.500 0.000
0.000 0.000 0.000
0.500 0.500 0.500
```

## Properties
**Space-group type**: Pm-3m (221)



Arrangement Q

Material: NaIr3Br
Method: DFT, PBE
State: optimized geometry

```
NaIr3Br
1.0
-1.972 3.483 2.415
-2.396 -3.114 2.534
3.496 -0.169 3.098
Ir Br Na
3 1 1
direct
0.000 0.500 0.000
0.000 0.000 0.500
0.500 0.000 0.000
0.000 0.000 0.000
0.500 0.500 0.500
```

## Properties
**Space-group type**: Pm-3m (221)



Most stable one: arrangement Q, least stable one: arrangement P.